Material: CdInAs2
Method: DFT, PBE-GGA
State: optimized geometry

a = 5.9048 Å, b = 6.1189 Å, c = 6.5857 Å
α = 138.35°, β = 137.83°, γ = 50.92°
Closest atoms and distances in Å follow each position.
Element x y z (fractional)
As: 0.8595 0.8595 0.7189  3 Cd 2.69-2.79, 2 As 2.96
As: 0.3864 0.8864 0.7729  3 In 2.75-2.77, 2 As 2.96
In: 0.7548 0.2548 0.5096  3 As 2.75-2.77
Cd: 0.4993 0.4993 0.9986  3 As 2.69-2.79

Output
V in Å³ per cell: 105
Symmetry: C2
Mass density in g/cm3: 5.99
Total magnetic moment in Bohr magnetons per cell: 0.00
Raw total energy in eV/atom: -3.187